Entry 1:
Density functional theory data (GGA-PBEsol) for a geometry-optimized Nb3ZnSb structure.

Values from the calculation:
Total magnetic moment, μB/f.u.: 0.00
VASP energy, eV/atom: -6.76
Space group: Pm-3m (221)

abc: 4.6772 4.6772 4.6772
angles: 90.00 90.00 90.00
Element x y z (fractional)
Nb 0.0000 0.0000 0.5000
Nb 0.0000 0.5000 0.0000
Nb 0.5000 0.0000 0.0000
Zn 0.0000 0.0000 0.0000
Sb 0.5000 0.5000 0.5000


Entry 2:
Density functional theory data (GGA-PBEsol) for a geometry-optimized ZrNbSb2 structure.

Values from the calculation:
Total magnetic moment, μB/f.u.: 0.00
Space group: Fm-3m (225)
Excess energy over the best structure of this formula in the dataset, meV per atom: 0

abc: 6.8902 6.8902 6.8902
angles: 90.00 90.00 90.00
Element x y z (fractional)
Zr 0.0000 0.0000 0.0000
Zr 0.0000 0.5000 0.5000
Zr 0.5000 0.0000 0.5000
Zr 0.5000 0.5000 0.0000
Nb 0.0000 0.0000 0.5000
Nb 0.0000 0.5000 0.0000
Nb 0.5000 0.0000 0.0000
Nb 0.5000 0.5000 0.5000
Sb 0.2500 0.2500 0.2500
Sb 0.2500 0.2500 0.7500
Sb 0.2500 0.7500 0.2500
Sb 0.2500 0.7500 0.7500
Sb 0.7500 0.2500 0.2500
Sb 0.7500 0.2500 0.7500
Sb 0.7500 0.7500 0.2500
Sb 0.7500 0.7500 0.7500


Entry 3:
Density functional theory data (GGA-PBEsol) for a geometry-optimized ZrNbSb2 structure.

Values from the calculation:
Total magnetic moment, μB/f.u.: 1.29
Space group: I-42d (122)
Excess energy over the best structure of this formula in the dataset, meV per atom: 964

abc: 6.1381 6.1381 13.5079
angles: 90.00 90.00 90.00
Element x y z (fractional)
Zr 0.0000 0.0000 0.0000
Zr 0.0000 0.5000 0.2500
Zr 0.5000 0.0000 0.7500
Zr 0.5000 0.5000 0.5000
Nb 0.0000 0.0000 0.5000
Nb 0.0000 0.5000 0.7500
Nb 0.5000 0.0000 0.2500
Nb 0.5000 0.5000 0.0000
Sb 0.2340 0.2500 0.6250
Sb 0.2500 0.7340 0.8750
Sb 0.2500 0.7660 0.3750
Sb 0.2660 0.2500 0.1250
Sb 0.7340 0.7500 0.1250
Sb 0.7500 0.2340 0.3750
Sb 0.7500 0.2660 0.8750
Sb 0.7660 0.7500 0.6250


Entry 4:
Density functional theory data (GGA-PBEsol) for a geometry-optimized Sc2Nb3Si4 structure.

Values from the calculation:
Total magnetic moment, μB/f.u.: 0.00
VASP energy, eV/atom: -8.51
Space group: Pnma (62)

abc: 6.6595 13.0270 6.8497
angles: 90.00 90.00 90.00
Element x y z (fractional)
Sc 0.0020 0.0956 0.1740
Sc 0.0020 0.4044 0.1740
Sc 0.4980 0.5956 0.6740
Sc 0.4980 0.9044 0.6740
Sc 0.5020 0.0956 0.3260
Sc 0.5020 0.4044 0.3260
Sc 0.9980 0.5956 0.8260
Sc 0.9980 0.9044 0.8260
Nb 0.1621 0.7500 0.4947
Nb 0.1631 0.1252 0.6754
Nb 0.1631 0.3748 0.6754
Nb 0.3369 0.6252 0.1754
Nb 0.3369 0.8748 0.1754
Nb 0.3379 0.2500 0.9947
Nb 0.6621 0.7500 0.0053
Nb 0.6631 0.1252 0.8246
Nb 0.6631 0.3748 0.8246
Nb 0.8369 0.6252 0.3246
Nb 0.8369 0.8748 0.3246
Nb 0.8379 0.2500 0.5053
Si 0.0394 0.7500 0.1119
Si 0.1682 0.5394 0.4677
Si 0.1682 0.9606 0.4677
Si 0.2051 0.2500 0.3622
Si 0.2949 0.7500 0.8622
Si 0.3318 0.0394 0.9677
Si 0.3318 0.4606 0.9677
Si 0.4606 0.2500 0.6119
Si 0.5394 0.7500 0.3881
Si 0.6682 0.5394 0.0323
Si 0.6682 0.9606 0.0323
Si 0.7051 0.2500 0.1378
Si 0.7949 0.7500 0.6378
Si 0.8318 0.0394 0.5323
Si 0.8318 0.4606 0.5323
Si 0.9606 0.2500 0.8881


Entry 5:
Density functional theory data (GGA-PBEsol) for a geometry-optimized ScNb2Si2 structure.

Values from the calculation:
Total magnetic moment, μB/f.u.: 0.00
VASP energy, eV/atom: -8.74
Space group: P4/mbm (127)

abc: 6.8619 6.8619 3.4304
angles: 90.00 90.00 90.00
Element x y z (fractional)
Sc 0.0000 0.0000 0.0000
Sc 0.5000 0.5000 0.0000
Nb 0.1694 0.3306 0.5000
Nb 0.3306 0.8306 0.5000
Nb 0.6694 0.1694 0.5000
Nb 0.8306 0.6694 0.5000
Si 0.1252 0.6252 0.0000
Si 0.3748 0.1252 0.0000
Si 0.6252 0.8748 0.0000
Si 0.8748 0.3748 0.0000


Entry 6:
Density functional theory data (GGA-PBEsol) for a geometry-optimized ScTaNb2 structure.

Values from the calculation:
Total magnetic moment, μB/f.u.: 0.00
Space group: Fm-3m (225)
Formation enthalpy at 0 K, meV/atom: 161

abc: 6.6410 6.6410 6.6410
angles: 90.00 90.00 90.00
Element x y z (fractional)
Sc 0.0000 0.0000 0.0000
Sc 0.0000 0.5000 0.5000
Sc 0.5000 0.0000 0.5000
Sc 0.5000 0.5000 0.0000
Ta 0.0000 0.0000 0.5000
Ta 0.0000 0.5000 0.0000
Ta 0.5000 0.0000 0.0000
Ta 0.5000 0.5000 0.5000
Nb 0.2500 0.2500 0.2500
Nb 0.2500 0.2500 0.7500
Nb 0.2500 0.7500 0.2500
Nb 0.2500 0.7500 0.7500
Nb 0.7500 0.2500 0.2500
Nb 0.7500 0.2500 0.7500
Nb 0.7500 0.7500 0.2500
Nb 0.7500 0.7500 0.7500


Question: Look up the total magnetic moment of the fifth one.
Answer: 0.00 μB/f.u.